No. 1
The following is a GGA-PBE calculation of Ac2Pm8Dy after structural relaxation, from Alexandria via LeMat-Bulk.

Unit cell a=10.598 b=10.598 c=5.757 alpha=93.22 beta=93.22 gamma=39.40
Atoms (fractional coordinates):
Ac 0.219 0.219 0.257
Ac 0.781 0.781 0.743
Pm 0.044 0.044 0.234
Pm 0.115 0.642 0.269
Pm 0.324 0.324 0.776
Pm 0.358 0.885 0.731
Pm 0.642 0.115 0.269
Pm 0.676 0.676 0.224
Pm 0.885 0.358 0.731
Pm 0.956 0.956 0.766
Dy 0.500 0.500 0.000

Values from the calculation:
E_tot: -4.427 eV/atom



No. 2
The following is a GGA-PBE calculation of AcPmDy6 after structural relaxation, from Alexandria via LeMat-Bulk.

Unit cell a=5.105 b=5.105 c=10.215 alpha=90.00 beta=90.00 gamma=90.00
Atoms (fractional coordinates):
Ac 0.000 0.000 0.000
Pm 0.000 0.000 0.500
Dy 0.000 0.500 0.256
Dy 0.000 0.500 0.744
Dy 0.500 0.000 0.256
Dy 0.500 0.000 0.744
Dy 0.500 0.500 0.000
Dy 0.500 0.500 0.500

Values from the calculation:
E_tot: -4.519 eV/atom



No. 3
The following is a GGA-PBE calculation of Ac2Pm4Dy7 after structural relaxation, from Alexandria via LeMat-Bulk.

Unit cell a=6.221 b=6.221 c=13.550 alpha=90.00 beta=90.00 gamma=120.00
Atoms (fractional coordinates):
Ac 0.333 0.667 0.000
Ac 0.667 0.333 0.000
Pm 0.000 0.000 0.394
Pm 0.000 0.000 0.606
Pm 0.333 0.667 0.500
Pm 0.667 0.333 0.500
Dy 0.000 0.000 0.000
Dy 0.000 0.354 0.782
Dy 0.000 0.646 0.218
Dy 0.354 0.000 0.782
Dy 0.354 0.354 0.218
Dy 0.646 0.000 0.218
Dy 0.646 0.646 0.782

Values from the calculation:
E_tot: -4.375 eV/atom



No. 4
The following is a GGA-PBE calculation of AcPm8Dy6 after structural relaxation, from Alexandria via LeMat-Bulk.

Unit cell a=8.689 b=8.689 c=8.689 alpha=65.15 beta=65.15 gamma=65.15
Atoms (fractional coordinates):
Ac 0.000 0.000 0.000
Pm 0.084 0.775 0.657
Pm 0.225 0.343 0.916
Pm 0.343 0.916 0.225
Pm 0.428 0.428 0.428
Pm 0.572 0.572 0.572
Pm 0.657 0.084 0.775
Pm 0.775 0.657 0.084
Pm 0.916 0.225 0.343
Dy 0.106 0.546 0.268
Dy 0.268 0.106 0.546
Dy 0.454 0.732 0.894
Dy 0.546 0.268 0.106
Dy 0.732 0.894 0.454
Dy 0.894 0.454 0.732

Values from the calculation:
E_tot: -4.487 eV/atom



No. 5
The following is a GGA-PBE calculation of AcPm7Dy4 after structural relaxation, from Alexandria via LeMat-Bulk.

Unit cell a=6.359 b=7.345 c=9.061 alpha=90.06 beta=103.64 gamma=90.02
Atoms (fractional coordinates):
Ac 0.000 0.000 0.000
Pm 0.000 0.500 0.000
Pm 0.225 0.999 0.662
Pm 0.282 0.745 0.337
Pm 0.500 0.256 0.001
Pm 0.500 0.744 0.999
Pm 0.718 0.255 0.663
Pm 0.775 0.001 0.338
Dy 0.218 0.500 0.665
Dy 0.280 0.256 0.336
Dy 0.720 0.744 0.664
Dy 0.782 0.500 0.335

Values from the calculation:
E_tot: -4.635 eV/atom



No. 6
The following is a GGA-PBE calculation of Ac5Pm5Dy2 after structural relaxation, from Alexandria via LeMat-Bulk.

Unit cell a=8.417 b=8.417 c=11.959 alpha=114.90 beta=114.90 gamma=37.02
Atoms (fractional coordinates):
Ac 0.000 0.000 0.000
Ac 0.160 0.160 0.496
Ac 0.253 0.253 0.247
Ac 0.747 0.747 0.753
Ac 0.840 0.840 0.504
Pm 0.332 0.332 0.000
Pm 0.422 0.422 0.752
Pm 0.500 0.500 0.500
Pm 0.578 0.578 0.248
Pm 0.668 0.668 0.000
Dy 0.084 0.084 0.758
Dy 0.916 0.916 0.242

Values from the calculation:
E_tot: -4.412 eV/atom



| no. | total magnetic moment (μB/cell) | energy of formation from the pure elements (eV per atom) | N(E_F) (states/eV/atom) |
| --- | --- | --- | --- |
| 1 | 0.0 | 0.193 | 1.50 |
| 2 | 0.0 | 0.040 | 1.45 |
| 3 | 0.0 | 0.197 | 1.53 |
| 4 | 0.0 | 0.161 | 1.53 |
| 5 | 0.0 | 0.013 | 1.49 |
| 6 | 0.0 | 0.047 | 1.68 |